# Ac2LaMg9 | Alexandria | PBE-GGA | relaxed
# - raw total energy (eV per formula unit) = -28.49
# - formation energy from the elements (eV/atom) = -0.0831
# - SG = R-3m (166)
data_Ac2LaMg9
_chemical_formula_sum 'Ac2 La1 Mg9'
_symmetry_space_group_name_H-M 'P 1'
_symmetry_Int_Tables_number 1
_cell_length_a 6.240
_cell_length_b 6.240
_cell_length_c 10.760
_cell_angle_alpha 73.14
_cell_angle_beta 73.14
_cell_angle_gamma 60.00
loop_
_symmetry_equiv_pos_as_xyz
'x,y,z'
loop_
_atom_site_label
_atom_site_fract_x
_atom_site_fract_y
_atom_site_fract_z
Mg1 0.920 0.418 0.243
Mg2 0.582 0.582 0.757
Mg3 0.582 0.080 0.757
Mg4 0.500 0.500 0.500
Mg5 0.418 0.920 0.243
Mg6 0.334 0.334 0.998
La1 0.000 0.000 0.000
Mg7 0.080 0.582 0.757
Mg8 0.418 0.418 0.243
Ac1 0.857 0.857 0.428
Mg9 0.666 0.666 0.002
Ac2 0.143 0.143 0.572


# Ac7La12Mg | Alexandria | PBE-GGA | relaxed
# - raw total energy (eV per formula unit) = -86.20
# - formation energy from the elements (eV/atom) = 0.1643
# - SG = R-3 (148)
data_Ac7La12Mg
_chemical_formula_sum 'Ac7 La12 Mg1'
_symmetry_space_group_name_H-M 'P 1'
_symmetry_Int_Tables_number 1
_cell_length_a 9.283
_cell_length_b 9.283
_cell_length_c 9.283
_cell_angle_alpha 89.73
_cell_angle_beta 89.73
_cell_angle_gamma 89.73
loop_
_symmetry_equiv_pos_as_xyz
'x,y,z'
loop_
_atom_site_label
_atom_site_fract_x
_atom_site_fract_y
_atom_site_fract_z
Ac1 0.625 0.767 0.209
Ac2 0.233 0.791 0.375
La1 0.002 0.334 0.900
Ac3 0.767 0.209 0.625
Ac4 0.209 0.625 0.767
La2 0.334 0.900 0.002
La3 0.340 0.460 0.125
La4 0.125 0.340 0.460
La5 0.875 0.660 0.540
La6 0.100 0.998 0.666
La7 0.660 0.540 0.875
Ac5 0.791 0.375 0.233
La8 0.666 0.100 0.998
La9 0.900 0.002 0.334
Ac6 0.500 0.500 0.500
La10 0.540 0.875 0.660
Ac7 0.375 0.233 0.791
Mg1 0.000 0.000 0.000
La11 0.460 0.125 0.340
La12 0.998 0.666 0.100